No. 1
Below is a geometry-optimized CaBe2Cr structure, with properties calculated at the PBE-GGA level.

```
data_CaBe2Cr
_symmetry_space_group_name_H-M 'C m m m'
_symmetry_Int_Tables_number 65
_symmetry_space_group_name_Hall '-C 2 2'
_cell_length_a 6.359
_cell_length_b 6.378
_cell_length_c 2.671
_cell_angle_alpha 90.00
_cell_angle_beta 90.00
_cell_angle_gamma 90.00
loop_
_atom_site_label
_atom_site_type_symbol
_atom_site_fract_x
_atom_site_fract_y
_atom_site_fract_z
Ca1 Ca 0.000 0.000 0.000
Be1 Be 0.250 0.250 0.500
Cr1 Cr 0.000 0.500 0.000
```

Summary:
* energy above the most stable polymorph in this dataset: 154.1 kJ/mol of formula units
* E_form: 693 meV per atom
* E: -4.076 eV/atom

=====

No. 2
Below is a geometry-optimized CaBe2Cr structure, with properties calculated at the PBE-GGA level.

```
data_CaBe2Cr
_symmetry_space_group_name_H-M 'F -4 3 m'
_symmetry_Int_Tables_number 216
_symmetry_space_group_name_Hall 'F -4 2 3'
_cell_length_a 6.316
_cell_length_b 6.316
_cell_length_c 6.316
_cell_angle_alpha 90.00
_cell_angle_beta 90.00
_cell_angle_gamma 90.00
loop_
_atom_site_label
_atom_site_type_symbol
_atom_site_fract_x
_atom_site_fract_y
_atom_site_fract_z
Ca1 Ca 0.000 0.000 0.000
Be1 Be 0.000 0.000 0.500
Be2 Be 0.250 0.250 0.250
Cr1 Cr 0.250 0.250 0.750
```

Summary:
* energy above the most stable polymorph in this dataset: 151.0 kJ/mol of formula units
* E_form: 685 meV per atom
* E: -4.084 eV/atom

=====

No. 3
Below is a geometry-optimized CaBe2Cr structure, with properties calculated at the PBE-GGA level.

```
data_CaBe2Cr
_symmetry_space_group_name_H-M 'F m -3 m'
_symmetry_Int_Tables_number 225
_symmetry_space_group_name_Hall '-F 4 2 3'
_cell_length_a 6.143
_cell_length_b 6.143
_cell_length_c 6.143
_cell_angle_alpha 90.00
_cell_angle_beta 90.00
_cell_angle_gamma 90.00
loop_
_atom_site_label
_atom_site_type_symbol
_atom_site_fract_x
_atom_site_fract_y
_atom_site_fract_z
Ca1 Ca 0.000 0.000 0.000
Be1 Be 0.250 0.250 0.250
Cr1 Cr 0.000 0.000 0.500
```

Summary:
* energy above the most stable polymorph in this dataset: 198.4 kJ/mol of formula units
* E_form: 808 meV per atom
* E: -3.961 eV/atom

=====

No. 4
Below is a geometry-optimized CaBe2Cr structure, with properties calculated at the PBE-GGA level.

```
data_CaBe2Cr
_symmetry_space_group_name_H-M 'R 3 m'
_symmetry_Int_Tables_number 160
_symmetry_space_group_name_Hall 'R 3 -2"'
_cell_length_a 2.6724
_cell_length_b 2.6724
_cell_length_c 26.4059
_cell_angle_alpha 90.00
_cell_angle_beta 90.00
_cell_angle_gamma 120.00
loop_
_atom_site_label
_atom_site_type_symbol
_atom_site_fract_x
_atom_site_fract_y
_atom_site_fract_z
Ca1 Ca 0.0000 0.0000 0.0000
Be1 Be 0.0000 0.0000 0.2349
Be2 Be 0.0000 0.0000 0.5019
Cr1 Cr 0.0000 0.0000 0.7634
```

Summary:
* energy above the most stable polymorph in this dataset: 254.6 kJ/mol of formula units
* E_form: 953 meV per atom
* E: -3.816 eV/atom

=====

No. 5
Below is a geometry-optimized CaBe2Cr structure, with properties calculated at the PBE-GGA level.

```
data_CaBe2Cr
_symmetry_space_group_name_H-M 'P m m 2'
_symmetry_Int_Tables_number 25
_symmetry_space_group_name_Hall 'P 2 -2'
_cell_length_a 2.708
_cell_length_b 2.731
_cell_length_c 7.304
_cell_angle_alpha 90.00
_cell_angle_beta 90.00
_cell_angle_gamma 90.00
loop_
_atom_site_label
_atom_site_type_symbol
_atom_site_fract_x
_atom_site_fract_y
_atom_site_fract_z
Ca1 Ca 0.000 0.000 0.000
Be1 Be 0.000 0.000 0.457
Be2 Be 0.500 0.500 0.314
Cr1 Cr 0.500 0.500 0.659
```

Summary:
* energy above the most stable polymorph in this dataset: 114.7 kJ/mol of formula units
* E_form: 591 meV per atom
* E: -4.178 eV/atom

=====

No. 6
Below is a geometry-optimized CaBe2Cr structure, with properties calculated at the PBE-GGA level.

```
data_CaBe2Cr
_symmetry_space_group_name_H-M 'I 41/a m d'
_symmetry_Int_Tables_number 141
_cell_length_a 4.323
_cell_length_b 4.323
_cell_length_c 16.711
_cell_angle_alpha 90.00
_cell_angle_beta 90.00
_cell_angle_gamma 90.00
loop_
_symmetry_equiv_pos_as_xyz
'x,y,z'
'-x,-y,-z'
'-y+1/4,x+3/4,z+1/4'
'y+1/4,-x+3/4,-z+1/4'
'-x+1/2,-y,z+1/2'
'x+1/2,y,-z+1/2'
'y+1/4,-x+1/4,z+3/4'
'-y+1/4,x+1/4,-z+3/4'
'x,-y,-z'
'-x,y,z'
'-y+1/4,-x+1/4,-z+3/4'
'y+1/4,x+1/4,z+3/4'
'-x+1/2,y,-z+1/2'
'x+1/2,-y,z+1/2'
'y+1/4,x+3/4,-z+1/4'
'-y+1/4,-x+3/4,z+1/4'
'x+1/2,y+1/2,z+1/2'
'-x+1/2,-y+1/2,-z+1/2'
'-y+3/4,x+1/4,z+3/4'
'y+3/4,-x+1/4,-z+3/4'
'-x,-y+1/2,z'
'x,y+1/2,-z'
'y+3/4,-x+3/4,z+1/4'
'-y+3/4,x+3/4,-z+1/4'
'x+1/2,-y+1/2,-z+1/2'
'-x+1/2,y+1/2,z+1/2'
'-y+3/4,-x+3/4,-z+1/4'
'y+3/4,x+3/4,z+1/4'
'-x,y+1/2,-z'
'x,-y+1/2,z'
'y+3/4,x+1/4,-z+3/4'
'-y+3/4,-x+1/4,z+3/4'
loop_
_atom_site_label
_atom_site_type_symbol
_atom_site_fract_x
_atom_site_fract_y
_atom_site_fract_z
Ca1 Ca 0.000 0.250 0.375
Be1 Be 0.000 0.000 0.000
Cr1 Cr 0.000 0.250 0.875
```

Summary:
* energy above the most stable polymorph in this dataset: 143.8 kJ/mol of formula units
* E_form: 666 meV per atom
* E: -4.103 eV/atom

=====

No. 7
Below is a geometry-optimized CaBe4Cr structure, with properties calculated at the PBE-GGA level.

```
data_CaBe4Cr
_symmetry_space_group_name_H-M 'F -4 3 m'
_symmetry_Int_Tables_number 216
_symmetry_space_group_name_Hall 'F -4 2 3'
_cell_length_a 6.706
_cell_length_b 6.706
_cell_length_c 6.706
_cell_angle_alpha 90.00
_cell_angle_beta 90.00
_cell_angle_gamma 90.00
loop_
_atom_site_label
_atom_site_type_symbol
_atom_site_fract_x
_atom_site_fract_y
_atom_site_fract_z
Ca1 Ca 0.000 0.000 0.000
Be1 Be 0.121 0.121 0.379
Cr1 Cr 0.250 0.250 0.750
```

Summary:
* E_form: 250 meV per atom
* E: -4.172 eV/atom

=====

No. 8
Below is a geometry-optimized CaBe2Cr structure, with properties calculated at the PBE-GGA level.

```
data_CaBe2Cr
_symmetry_space_group_name_H-M 'A m m 2'
_symmetry_Int_Tables_number 38
_symmetry_space_group_name_Hall 'A 2 -2'
_cell_length_a 3.713
_cell_length_b 3.129
_cell_length_c 11.150
_cell_angle_alpha 90.00
_cell_angle_beta 90.00
_cell_angle_gamma 90.00
loop_
_atom_site_label
_atom_site_type_symbol
_atom_site_fract_x
_atom_site_fract_y
_atom_site_fract_z
Ca1 Ca 0.000 0.000 0.000
Be1 Be 0.000 0.000 0.259
Be2 Be 0.500 0.000 0.357
Cr1 Cr 0.500 0.000 0.706
```

Summary:
* energy above the most stable polymorph in this dataset: 60.9 kJ/mol of formula units
* E_form: 452 meV per atom
* E: -4.318 eV/atom